# 1
Below is crystalline K3AgO2 at its relaxed geometry, with properties calculated at the PBE-GGA level.

Cell lengths 6.3197, 6.3197, 6.8518 Å; angles 90.00, 90.00, 90.00 degrees
Space group P4_2/mnm (No. 136)
One atom of each set of equivalent atoms:
K1 0.0000 0.0000 0.0000
K2 0.0000 0.5000 0.2500
Ag1 0.0000 0.0000 0.5000
O1 0.2264 0.2264 0.5000

Total energy (eV/atom): -3.627


# 2
Below is crystalline Gd2YAl3CuSi2 at its relaxed geometry, with properties calculated at the PBE-GGA level.

Cell lengths 4.1966, 12.0409, 6.9593 Å; angles 90.00, 90.00, 90.00 degrees
Space group Amm2 (No. 38)
One atom of each set of equivalent atoms:
Gd1 0.0000 0.2030 0.0000
Y1 0.0000 0.0000 0.6094
Al1 0.5000 0.0000 0.9662
Al2 0.5000 0.1183 0.3221
Cu1 0.0000 0.0000 0.2044
Si1 0.5000 0.1658 0.7029

M_tot (μB per atom): 0.000
Total energy (eV/atom): -5.254


# 3
Below is crystalline Tb2GaSe at its relaxed geometry, with properties calculated at the PBE-GGA level.

Cell lengths 4.2607, 22.4705, 4.0515 Å; angles 90.00, 90.00, 90.00 degrees
Space group Cmcm (No. 63)
One atom of each set of equivalent atoms:
Tb1 0.0000 0.0659 0.2500
Tb2 0.0000 0.3213 0.2500
Ga1 0.0000 0.4605 0.2500
Se1 0.0000 0.1926 0.2500

M_tot (μB per atom): 0.000
Total energy (eV/atom): -5.195


# 4
Below is crystalline NaAg2SeS at its relaxed geometry, with properties calculated at the PBE-GGA level.

Cell lengths 4.2233, 4.2233, 7.2630 Å; angles 90.00, 90.00, 120.00 degrees
Space group P3m1 (No. 156)
One atom of each set of equivalent atoms:
Na1 0.0000 0.0000 0.0000
Ag1 0.3333 0.6667 0.5944
Ag2 0.6667 0.3333 0.3395
Se1 0.6667 0.3333 0.7362
S1 0.3333 0.6667 0.2286

Total energy (eV/atom): -3.261


# 5
Below is crystalline Cu2Ag at its relaxed geometry, with properties calculated at the PBE-GGA level.

Cell lengths 2.7288, 2.7288, 13.0426 Å; angles 90.00, 90.00, 120.00 degrees
Space group P-3m1 (No. 164)
One atom of each set of equivalent atoms:
Cu1 0.0000 0.0000 0.0000
Cu2 0.0000 0.0000 0.5000
Cu3 0.3333 0.6667 0.3474
Ag1 0.3333 0.6667 0.8271

Total energy (eV/atom): -3.308


# 6
Below is crystalline Er3NiSn3Pt2 at its relaxed geometry, with properties calculated at the PBE-GGA level.

Cell lengths 7.4809, 7.4809, 3.8806 Å; angles 90.00, 90.00, 120.00 degrees
Space group P-62m (No. 189)
One atom of each set of equivalent atoms:
Er1 0.0000 0.4058 0.0000
Ni1 0.0000 0.0000 0.0000
Sn1 0.0000 0.7510 0.5000
Pt1 0.3333 0.6667 0.5000

M_tot (μB per atom): 0.000
Total energy (eV/atom): -5.807